Li2Nd2F after structural relaxation. Source: the Open Quantum Materials Database, functional PBE.

Structure (POSCAR):
```
Li2Nd2F
1.0
3.440 0.000 0.000
-1.720 2.979 0.000
0.000 0.000 21.144
F Li Nd
2 4 4
Direct
0.000 0.000 0.250 F
0.000 0.000 0.750 F
0.333 0.667 0.042 Li
0.333 0.667 0.458 Li
0.667 0.333 0.542 Li
0.667 0.333 0.958 Li
0.667 0.333 0.162 Nd
0.667 0.333 0.338 Nd
0.333 0.667 0.662 Nd
0.333 0.667 0.838 Nd
```

- space-group type = P6_3/mmc, No. 194
- total magnetic moment (μB/cell) = 0.025
- raw total energy (eV/atom) = -3.747